{
  "formula": "HoMgGaHg",
  "functional": "PBE",
  "state": "optimized geometry",
  "lattice": [[-1.2564, 2.4089, -4.1923], [-4.8032, 0.3761, -1.3209], [-2.3228, 4.4154, 0.2567]],
  "species": ["Ga", "Ho", "Hg", "Mg"],
  "fractional_positions": [[0.2500, 0.2500, 0.2500], [0.0000, 0.0000, 0.0000], [0.7500, 0.7500, 0.7500], [0.5000, 0.5000, 0.5000]],
  "m_tot_mub_per_cell": 0.00,
  "energy_ev_per_atom": -2.811,
  "e_form_mev_per_atom": -436
}